## PrHo4S5 (PBE)

Data for an optimized crystal structure of PrHo4S5.

Results
Its density of states at the Fermi level is 4.63 states/eV per cell. The energy relative to the elements, uncorrected is -1.97 eV per atom. As for the space group: Immm, No. 71. The calculated volume is 215 Å³ per cell.

The structure in extended XYZ format:
```
10
Lattice="0.308 3.507 -1.718 -1.578 -2.234 -4.845 -8.782 1.263 5.473" Properties=species:S:1:pos:R:3 pbc="T T T"
Ho -2.507 1.014 -2.846
Ho -7.546 1.522 1.756
Ho -6.232 1.766 -1.978
Ho -3.820 0.771 0.889
S -5.522 2.898 0.462
S -1.862 2.160 -0.390
S -8.191 0.376 -0.699
S -4.531 -0.362 -1.551
S -0.789 -1.117 -2.422
Pr 0.000 0.000 0.000
```